5
Lattice="5.7103 0.0000 0.0000 0.0000 7.1978 0.0000 0.0000 0.0000 5.7103" Properties=species:S:1:pos:R:3 comment="CsKLa2Ti | Alexandria via LeMat-Bulk | PBE-GGA | optimized geometry" sg="P4/mmm (123)" energy_ev_per_atom=-3.260 pbc="T T T"
La 0.0000 0.0000 2.8551
La 2.8551 0.0000 0.0000
Cs 0.0000 3.5989 0.0000
Ti 0.0000 0.0000 0.0000
K 2.8551 3.5989 2.8551

---

16
Lattice="-1.1584 -7.2797 1.4232 6.2230 0.1422 5.7926 -5.5609 4.9486 0.9847" Properties=species:S:1:pos:R:3 comment="K4Hf3NiS8 | Alexandria via LeMat-Bulk | PBE-GGA | optimized geometry" formation_energy_uncorrected_ev_per_atom=-1.29 sg="R-3m (166)" energy_ev_per_atom=-5.859 pbc="T T T"
Hf 0.3311 2.5454 3.3887
Hf -0.2482 -1.0945 4.1003
Hf 2.5323 -3.5688 3.6079
K -3.3597 -1.1656 1.2040
K -0.5792 -3.6398 0.7116
K 0.0000 0.0000 0.0000
K -2.7805 2.4743 0.4924
S 1.4000 -1.7173 2.2218
S -1.3151 3.1808 5.2646
S 1.4736 0.6984 4.7720
S -1.4035 0.7427 2.6566
S -1.8963 -0.4717 5.9787
S 0.8188 -5.3697 2.9359
S -1.9699 -2.8874 3.4285
S 0.9072 -2.9317 5.5439
Ni 3.1115 0.0711 2.8963

---

10
Lattice="-3.3253 -1.5249 -0.5744 1.5617 -3.3550 -0.1342 -2.3807 -1.8568 18.7100" Properties=species:S:1:pos:R:3 comment="Dy4Mg5Zr | Alexandria via LeMat-Bulk | PBE-GGA | optimized geometry" sg="P4/mmm (123)" energy_ev_per_atom=-3.526 pbc="T T T"
Mg -1.0901 -2.6025 1.2829
Mg -2.5642 -3.7522 12.8681
Mg -2.0721 -3.3684 9.0007
Mg -3.0542 -4.1343 16.7185
Mg -1.5800 -2.9846 5.1332
Dy -0.4509 -0.3517 3.5440
Dy -1.4367 -1.1205 11.2911
Dy -0.9440 -0.7362 7.4189
Dy -1.9297 -1.5051 15.1660
Zr 0.0000 0.0000 0.0000

---

16
Lattice="2.1674 5.8060 -1.7596 -4.6583 -2.8623 -3.4075 -7.2824 4.5719 6.1150" Properties=species:S:1:pos:R:3 comment="Mg14SnBi | Alexandria via LeMat-Bulk | PBE-GGA | optimized geometry" de_polymorph_mev_per_atom=12 sg="Amm2 (38)" energy_ev_per_atom=-1.912 pbc="T T T"
Mg -5.5687 6.3419 2.2748
Mg 1.0449 4.3805 -2.0306
Mg -1.2784 2.9543 -3.7312
Mg -2.3661 0.0486 -2.8542
Mg -2.9465 1.1478 0.0855
Mg -9.0175 2.0107 1.4700
Mg -5.3300 -0.3043 -1.6265
Mg -1.9325 4.0590 -0.7785
Mg -4.9690 5.1812 -0.6884
Mg -0.0349 1.4848 -1.1517
Mg -4.2058 2.6360 -2.5269
Mg -3.7225 3.7081 1.8974
Mg -6.6668 3.4833 3.2094
Mg -7.9261 4.9716 0.5969
Bi -6.0543 2.2748 0.1920
Sn -2.6465 6.6026 1.0147

---

20
Lattice="-8.6534 -0.9499 -2.2863 -2.4721 0.9027 8.6072 -0.7954 8.9021 -1.0626" Properties=species:S:1:pos:R:3 comment="La12PmPr7 | Alexandria via LeMat-Bulk | PBE-GGA | optimized geometry" de_polymorph_mev_per_atom=0 sg="R-3 (148)" energy_ev_per_atom=-4.697 pbc="T T T"
La -5.9236 4.9640 5.9406
La -8.6183 5.8286 -0.5140
La -5.8335 1.3522 3.9639
La -9.0010 3.1412 2.0335
La -7.2384 0.8246 0.5571
La -5.9972 3.8909 -0.6822
La -8.5526 2.3739 5.4524
La -3.3026 3.0263 5.7723
La -3.3682 6.4809 -0.1941
La -2.9198 5.7137 3.2248
La -6.0873 7.5026 1.2944
La -4.6824 8.0303 4.7012
Pr -1.2839 3.4874 0.6445
Pr -5.9604 4.4274 2.6292
Pr -3.6245 0.9609 -0.4070
Pr -8.2964 7.8940 5.6653
Pr -9.6851 7.9964 2.3445
Pr -2.2358 0.8584 2.9138
Pr -10.6369 5.3675 4.6138
Pm 0.0000 0.0000 0.0000

---

4
Lattice="4.6546 -0.0054 0.0211 3.7664 2.7350 0.0211 3.8241 1.2395 6.4328" Properties=species:S:1:pos:R:3 comment="Ru2PtBr | Alexandria via LeMat-Bulk | PBE-GGA | optimized geometry" formation_energy_uncorrected_ev_per_atom=0.55 de_polymorph_mev_per_atom=107 sg="C2/m (12)" energy_ev_per_atom=-6.018 pbc="T T T"
Pt 3.0613 0.9923 1.6187
Ru 0.7061 0.2289 0.5866
Ru 5.4164 1.7557 2.6508
Br 9.1838 2.9768 4.8562

---

10
Lattice="-1.5097 0.6217 4.9047 3.2613 -3.3204 4.1488 2.8945 4.6169 3.0298" Properties=species:S:1:pos:R:3 comment="Nd4TmN5 | Alexandria via LeMat-Bulk | PBE-GGA | optimized geometry" formation_energy_uncorrected_ev_per_atom=-1.42 sg="I4 (79)" energy_ev_per_atom=-7.940 pbc="T T T"
N -0.7074 0.2913 2.2982
N 2.2439 2.9927 8.4451
N 0.6933 1.5815 5.4226
N 2.4236 -1.0833 3.5688
N 3.9742 0.3279 6.5913
Tm -0.0319 0.0131 0.1036
Nd 3.0052 2.6350 6.1058
Nd 1.6041 -0.7015 6.0975
Nd 1.4771 1.3218 3.0778
Nd 3.1321 0.6116 9.1255

---

4
Lattice="-0.6417 -0.2349 -2.6612 -2.2893 -1.3623 0.6722 -4.2613 7.3483 0.3789" Properties=species:S:1:pos:R:3 comment="MgZn2Mo | Alexandria via LeMat-Bulk | PBE-GGA | optimized geometry" sg="P4mm (99)" energy_ev_per_atom=-3.629 pbc="T T T"
Mg -2.1307 3.6743 0.1895
Mo -4.7171 4.8085 -0.7053
Zn -0.0025 0.0043 0.0002
Zn -2.4727 0.9382 -0.9049